The following is a PBE calculation of an optimized crystal structure of Y3ErSc8, from the Alexandria database.

POSCAR file:
```
Y3ErSc8
1.0
-5.878 4.558 -2.635
1.051 -6.870 -3.737
-0.900 -3.049 7.222
Y Er Sc
3 1 8
Direct
0.500 0.750 0.250 Y
0.500 0.250 0.750 Y
0.000 0.500 0.500 Y
0.000 0.000 0.000 Er
0.483 0.225 0.225 Sc
0.517 0.742 0.742 Sc
0.000 0.775 0.258 Sc
0.000 0.258 0.775 Sc
0.251 0.369 0.369 Sc
0.749 0.118 0.118 Sc
0.000 0.631 0.882 Sc
0.000 0.882 0.631 Sc
```

Theoretical density (g/cm³): 3.62
Symmetry: I-42m
Final energy (eV for the cell shown): -66.3
Calculated formation energy (meV/atom): 690